Entry 1:
An optimized crystal structure of La4PmY4. Source: the Alexandria database, functional PBE.

energy of formation from the pure elements = 0.023 eV per atom

a = 8.167 Å, b = 8.167 Å, c = 8.167 Å
α = 95.82°, β = 95.82°, γ = 142.86°
Fractional positions:
La1 0.000 0.333 0.333
La2 0.000 0.667 0.667
La3 0.333 0.000 0.333
La4 0.667 0.000 0.667
Pm1 0.000 0.000 0.000
Y1 0.335 0.335 0.670
Y2 0.335 0.665 0.000
Y3 0.665 0.335 0.000
Y4 0.665 0.665 0.330

=====

Entry 2:
An optimized crystal structure of La8PmY3. Source: the Alexandria database, functional PBE.

energy of formation from the pure elements = 0.035 eV per atom

a = 6.472 Å, b = 8.777 Å, c = 8.805 Å
α = 79.43°, β = 68.46°, γ = 68.52°
Fractional positions:
La1 0.000 0.000 0.000
La2 0.000 0.332 0.669
La3 0.082 0.248 0.252
La4 0.082 0.581 0.921
La5 0.498 0.500 0.500
La6 0.498 0.833 0.169
La7 0.583 0.080 0.419
La8 0.583 0.747 0.751
Pm1 0.505 0.166 0.834
Y1 0.003 0.666 0.334
Y2 0.080 0.913 0.585
Y3 0.578 0.415 0.087

=====

Entry 3:
An optimized crystal structure of La3Pm3Y. Source: the Alexandria database, functional PBE.

energy of formation from the pure elements = 0.029 eV per atom
energy above the most stable polymorph in this dataset = 0.0000 eV/atom

a = 9.864 Å, b = 9.864 Å, c = 5.924 Å
α = 90.00°, β = 90.00°, γ = 120.00°
Fractional positions:
La1 0.045 0.242 0.250
La2 0.197 0.955 0.250
La3 0.242 0.197 0.750
La4 0.758 0.803 0.250
La5 0.803 0.045 0.750
La6 0.955 0.758 0.750
Pm1 0.095 0.480 0.750
Pm2 0.385 0.905 0.750
Pm3 0.480 0.385 0.250
Pm4 0.520 0.615 0.750
Pm5 0.615 0.095 0.250
Pm6 0.905 0.520 0.250
Y1 0.333 0.667 0.250
Y2 0.667 0.333 0.750

=====

Entry 4:
An optimized crystal structure of La5Pm12Y2. Source: the Alexandria database, functional PBE.

energy of formation from the pure elements = 0.119 eV per atom
energy above the most stable polymorph in this dataset = 0.0140 eV/atom

a = 9.593 Å, b = 9.593 Å, c = 8.007 Å
α = 90.92°, β = 90.92°, γ = 66.45°
Fractional positions:
La1 0.000 0.000 0.000
La2 0.245 0.245 0.981
La3 0.350 0.350 0.422
La4 0.650 0.650 0.578
La5 0.755 0.755 0.019
Pm1 0.038 0.576 0.704
Pm2 0.147 0.147 0.612
Pm3 0.172 0.618 0.109
Pm4 0.382 0.828 0.891
Pm5 0.424 0.962 0.296
Pm6 0.450 0.450 0.794
Pm7 0.550 0.550 0.206
Pm8 0.576 0.038 0.704
Pm9 0.618 0.172 0.109
Pm10 0.828 0.382 0.891
Pm11 0.853 0.853 0.388
Pm12 0.962 0.424 0.296
Y1 0.242 0.758 0.500
Y2 0.758 0.242 0.500

=====

Entry 5:
An optimized crystal structure of La4PmY4. Source: the Alexandria database, functional PBE.

energy of formation from the pure elements = 0.025 eV per atom

a = 6.312 Å, b = 9.696 Å, c = 10.975 Å
α = 100.84°, β = 106.41°, γ = 96.19°
Fractional positions:
La1 0.247 0.415 0.027
La2 0.249 0.750 0.251
La3 0.250 0.083 0.139
La4 0.252 0.750 0.583
La5 0.748 0.250 0.417
La6 0.750 0.917 0.861
La7 0.751 0.250 0.749
La8 0.753 0.585 0.973
Pm1 0.248 0.083 0.803
Pm2 0.752 0.917 0.197
Y1 0.248 0.748 0.916
Y2 0.249 0.418 0.692
Y3 0.250 0.084 0.474
Y4 0.251 0.417 0.363
Y5 0.749 0.583 0.637
Y6 0.750 0.916 0.526
Y7 0.751 0.582 0.308
Y8 0.752 0.252 0.084

=====

Entry 6:
An optimized crystal structure of La8Pm3Y2. Source: the Alexandria database, functional PBE.

energy of formation from the pure elements = 0.148 eV per atom
energy above the most stable polymorph in this dataset = 0.0000 eV/atom

a = 9.298 Å, b = 9.298 Å, c = 5.889 Å
α = 104.85°, β = 104.85°, γ = 74.63°
Fractional positions:
La1 0.077 0.077 0.229
La2 0.100 0.563 0.831
La3 0.339 0.339 0.377
La4 0.437 0.900 0.169
La5 0.563 0.100 0.831
La6 0.661 0.661 0.623
La7 0.900 0.437 0.169
La8 0.923 0.923 0.771
Pm1 0.246 0.754 0.500
Pm2 0.500 0.500 0.000
Pm3 0.754 0.246 0.500
Y1 0.174 0.174 0.801
Y2 0.826 0.826 0.199

=====

Entry 7:
An optimized crystal structure of La2Pm7Y3. Source: the Alexandria database, functional PBE.

energy of formation from the pure elements = 0.105 eV per atom
energy above the most stable polymorph in this dataset = 0.0208 eV/atom

a = 3.652 Å, b = 5.851 Å, c = 19.703 Å
α = 86.29°, β = 84.78°, γ = 89.99°
Fractional positions:
La1 0.143 0.208 0.209
La2 0.857 0.792 0.791
Pm1 0.086 0.677 0.325
Pm2 0.229 0.241 0.042
Pm3 0.432 0.826 0.640
Pm4 0.500 0.500 0.500
Pm5 0.568 0.174 0.360
Pm6 0.771 0.759 0.958
Pm7 0.914 0.323 0.675
Y1 0.000 0.000 0.500
Y2 0.323 0.280 0.860
Y3 0.677 0.720 0.140

=====

Entry 8:
An optimized crystal structure of La5PmY2. Source: the Alexandria database, functional PBE.

energy of formation from the pure elements = 0.112 eV per atom
energy above the most stable polymorph in this dataset = 0.0787 eV/atom

a = 6.722 Å, b = 6.722 Å, c = 16.615 Å
α = 90.00°, β = 90.00°, γ = 129.64°
Fractional positions:
La1 0.029 0.971 0.750
La2 0.114 0.886 0.052
La3 0.114 0.886 0.448
La4 0.423 0.577 0.093
La5 0.423 0.577 0.407
La6 0.577 0.423 0.593
La7 0.577 0.423 0.907
La8 0.886 0.114 0.552
La9 0.886 0.114 0.948
La10 0.971 0.029 0.250
Pm1 0.251 0.749 0.250
Pm2 0.749 0.251 0.750
Y1 0.274 0.726 0.635
Y2 0.274 0.726 0.865
Y3 0.726 0.274 0.135
Y4 0.726 0.274 0.365